Record 1
VASP calculation (PBE-GGA) on a geometry-optimized LiHfCuSeS2 structure.

Calculated values
For the total energy, the calculation gives -5.675 eV per atom. For the total magnetization, the calculation gives 0.00 μB/atom.

Cell lengths 6.5051, 6.5051, 9.8723 Å; angles 90.00, 90.00, 147.59 degrees
Fractional coordinates of all 12 atoms:
S (0.8660, 0.1340, 0.0651)
Cu (0.9737, 0.0263, 0.2500)
S (0.1340, 0.8660, 0.9349)
S (0.8660, 0.1340, 0.4349)
Cu (0.0263, 0.9737, 0.7500)
Li (0.7177, 0.2823, 0.7500)
Li (0.2823, 0.7177, 0.2500)
Hf (0.5000, 0.5000, 0.5000)
Hf (0.5000, 0.5000, 0.0000)
S (0.1340, 0.8660, 0.5651)
Se (0.6031, 0.3969, 0.2500)
Se (0.3969, 0.6031, 0.7500)



Record 2
VASP calculation (PBE-GGA) on a geometry-optimized FeTcAgBi structure.

Calculated values
For the total magnetization, the calculation gives 0.68 μB/atom. The calculation puts the energy above the most stable polymorph in this dataset at 0.00 kJ/mol of atoms.

Cell lengths 4.6020, 4.6020, 4.6020 Å; angles 60.00, 60.00, 60.00 degrees
Fractional coordinates of all 4 atoms:
Bi (0.0000, 0.0000, 0.0000)
Fe (0.7500, 0.7500, 0.7500)
Ag (0.5000, 0.5000, 0.5000)
Tc (0.2500, 0.2500, 0.2500)



Record 3
VASP calculation (PBE-GGA) on a geometry-optimized NaNbCdPd structure.

Calculated values
For the total magnetization, the calculation gives 0.00 μB/atom. The calculation puts the energy above the most stable polymorph in this dataset at 4.34 kJ/mol of atoms.

Cell lengths 4.7197, 4.7197, 4.7197 Å; angles 60.00, 60.00, 60.00 degrees
Fractional coordinates of all 4 atoms:
Nb (0.2500, 0.2500, 0.2500)
Pd (0.0000, 0.0000, 0.0000)
Cd (0.5000, 0.5000, 0.5000)
Na (0.7500, 0.7500, 0.7500)